Ho4ErAs5: relaxed, PBE.

a = 7.096 Å, b = 7.096 Å, c = 7.096 Å
α = 99.59°, β = 99.59°, γ = 131.81°
Positions (direct):
Ho 0.100 0.300 0.400
Ho 0.300 0.900 0.200
Ho 0.700 0.100 0.800
Ho 0.900 0.700 0.600
Er 0.500 0.500 0.000
As 0.000 0.000 0.000
As 0.201 0.600 0.800
As 0.400 0.201 0.601
As 0.600 0.799 0.399
As 0.799 0.400 0.200

## Properties
**Density**: 8.2 g/cm³
**E_form**: -15.283 eV per formula unit
**Total moment**: 0.0 μB/cell